[1]
Below is a relaxed structure of NpMnGePt, with properties calculated at the PBE level.

Cell lengths 4.6908, 4.6908, 4.6908 Å; angles 60.00, 60.00, 60.00 degrees
Positions (direct):
Np 0.0000 0.0000 0.0000
Mn 0.2500 0.2500 0.2500
Ge 0.7500 0.7500 0.7500
Pt 0.5000 0.5000 0.5000

Results
As for the size of the total moment: 8.311 μB/f.u. Its energy relative to the elements is 0.13 eV per atom. Its space group is F-43m.



[2]
Below is a relaxed structure of Np2MnGe4Pt3, with properties calculated at the PBE level.

Cell lengths 4.1869, 4.1869, 10.6894 Å; angles 90.00, 90.00, 90.00 degrees
Positions (direct):
Np 0.0000 0.5000 0.2479
Np 0.5000 0.0000 0.7521
Mn 0.5000 0.5000 0.0000
Ge 0.0000 0.0000 0.5000
Ge 0.0000 0.5000 0.8650
Ge 0.5000 0.0000 0.1350
Ge 0.5000 0.5000 0.5000
Pt 0.0000 0.0000 0.0000
Pt 0.0000 0.5000 0.6340
Pt 0.5000 0.0000 0.3660

Results
As for the size of the total moment: 11.167 μB/f.u. Its energy relative to the elements is -0.45 eV per atom. Its space group is P-4m2.



[3]
Below is a relaxed structure of Np2MnGe4Rh3, with properties calculated at the PBE level.

Cell lengths 4.1464, 4.1464, 10.4140 Å; angles 90.00, 90.00, 90.00 degrees
Positions (direct):
Np 0.0000 0.5000 0.2471
Np 0.5000 0.0000 0.7529
Mn 0.0000 0.0000 0.5000
Ge 0.0000 0.0000 0.0000
Ge 0.0000 0.5000 0.6352
Ge 0.5000 0.0000 0.3648
Ge 0.5000 0.5000 0.0000
Rh 0.0000 0.5000 0.8700
Rh 0.5000 0.0000 0.1300
Rh 0.5000 0.5000 0.5000

Results
As for the size of the total moment: 10.206 μB/f.u. Its energy relative to the elements is -0.39 eV per atom. Its space group is P-4m2.



[4]
Below is a relaxed structure of NpMnGe2Ru, with properties calculated at the PBE level.

Cell lengths 6.1069, 6.1069, 6.1069 Å; angles 141.58, 141.58, 55.46 degrees
Positions (direct):
Np 0.0000 0.0000 0.0000
Mn 0.2500 0.7500 0.5000
Ge 0.3827 0.3827 0.0000
Ge 0.6173 0.6173 0.0000
Ru 0.7500 0.2500 0.5000

Results
As for the size of the total moment: 6.727 μB/f.u. Its energy relative to the elements is -0.24 eV per atom. Its space group is I-4m2.



[5]
Below is a relaxed structure of NpMnGeRu, with properties calculated at the PBE level.

Cell lengths 4.4835, 4.4835, 4.4835 Å; angles 60.00, 60.00, 60.00 degrees
Positions (direct):
Np 0.0000 0.0000 0.0000
Mn 0.7500 0.7500 0.7500
Ge 0.5000 0.5000 0.5000
Ru 0.2500 0.2500 0.2500

Results
As for the size of the total moment: 1.960 μB/f.u. Its energy relative to the elements is -0.10 eV per atom. Its space group is F-43m.



[6]
Below is a relaxed structure of NpMnTcGe, with properties calculated at the PBE level.

Cell lengths 4.4920, 4.4920, 4.4920 Å; angles 60.00, 60.00, 60.00 degrees
Positions (direct):
Np 0.0000 0.0000 0.0000
Mn 0.2500 0.2500 0.2500
Tc 0.7500 0.7500 0.7500
Ge 0.5000 0.5000 0.5000

Results
As for the size of the total moment: 1.272 μB/f.u. Its energy relative to the elements is -0.01 eV per atom. Its space group is F-43m.



[7]
Below is a relaxed structure of NpMnVGe, with properties calculated at the PBE level.

Cell lengths 4.4006, 4.4006, 4.4006 Å; angles 60.00, 60.00, 60.00 degrees
Positions (direct):
Np 0.0000 0.0000 0.0000
Mn 0.2500 0.2500 0.2500
V 0.7500 0.7500 0.7500
Ge 0.5000 0.5000 0.5000

Results
As for the size of the total moment: 3.273 μB/f.u. Its energy relative to the elements is 0.06 eV per atom. Its space group is F-43m.